(1)
This record from Alexandria describes crystalline Ho2PuZn at its relaxed geometry. The functional is PBE.

Results
As for the density of states at the Fermi level: 2.38 states/eV per atom. For the relative energy among the computed polymorphs, the calculation gives 0.0000 eV/atom. The space-group type is No. 123.

POSCAR file:
```
Ho2PuZn
1.0
3.478 0.000 0.000
0.000 3.478 0.000
0.000 0.000 8.567
Pu Zn Ho
1 1 2
Direct
0.500 0.500 0.500
0.500 0.500 0.000
0.000 0.000 0.788
0.000 0.000 0.212
```


(2)
This record from Alexandria describes crystalline HoPu2Zn at its relaxed geometry. The functional is PBE.

Results
As for the density of states at the Fermi level: 3.50 states/eV per atom. For the relative energy among the computed polymorphs, the calculation gives 0.1419 eV/atom. The space-group type is No. 225.

POSCAR file:
```
HoPu2Zn
1.0
-2.141 -4.544 1.396
2.954 -3.727 2.136
-0.544 -1.184 5.049
Ho Zn Pu
1 1 2
Direct
0.500 0.500 0.500
0.000 0.000 0.000
0.750 0.750 0.750
0.250 0.250 0.250
```


(3)
This record from Alexandria describes crystalline Ho2PuZn at its relaxed geometry. The functional is PBE.

Results
As for the density of states at the Fermi level: 2.30 states/eV per atom. For the relative energy among the computed polymorphs, the calculation gives 0.0942 eV/atom. The space-group type is No. 160.

POSCAR file:
```
Ho2PuZn
1.0
-0.534 2.858 1.985
0.158 -0.238 3.509
9.782 2.937 1.527
Ho Zn Pu
2 1 1
Direct
0.260 0.260 0.221
0.074 0.074 0.778
0.667 0.667 0.000
0.500 0.500 0.500
```


(4)
This record from Alexandria describes crystalline HoPu2Zn9 at its relaxed geometry. The functional is PBE.

Results
As for the density of states at the Fermi level: 1.14 states/eV per atom. The space-group type is No. 166. Its total energy is -3.927 eV per atom.

POSCAR file:
```
HoPu2Zn9
1.0
-0.105 2.245 4.861
-0.108 -3.088 4.374
8.695 -0.304 3.278
Pu Zn Ho
2 9 1
Direct
0.852 0.852 0.444
0.148 0.148 0.556
0.335 0.335 0.994
0.417 0.922 0.243
0.078 0.583 0.757
0.583 0.583 0.757
0.583 0.078 0.757
0.922 0.417 0.243
0.417 0.417 0.243
0.665 0.665 0.006
0.500 0.500 0.500
0.000 0.000 0.000
```


(5)
This record from Alexandria describes crystalline Ho3PuZn4 at its relaxed geometry. The functional is PBE.

Results
As for the density of states at the Fermi level: 1.05 states/eV per atom. The space-group type is No. 166. Its total energy is -4.413 eV per atom.

POSCAR file:
```
Ho3PuZn4
1.0
4.820 0.000 1.423
2.200 4.288 1.423
0.053 0.032 8.697
Zn Ho Pu
4 3 1
Direct
0.126 0.126 0.621
0.874 0.874 0.379
0.376 0.376 0.871
0.624 0.624 0.129
0.500 0.500 0.500
0.251 0.251 0.246
0.749 0.749 0.754
0.000 0.000 0.000
```


(6)
This record from Alexandria describes crystalline Ho2PuZn at its relaxed geometry. The functional is PBE.

Results
As for the density of states at the Fermi level: 3.28 states/eV per atom. For the relative energy among the computed polymorphs, the calculation gives 0.2027 eV/atom. The space-group type is No. 225.

POSCAR file:
```
Ho2PuZn
1.0
5.262 0.000 0.000
2.631 4.557 0.000
2.631 1.519 4.297
Pu Ho Zn
1 2 1
Direct
0.000 0.000 0.000
0.750 0.750 0.750
0.250 0.250 0.250
0.500 0.500 0.500
```


Q: What is the formula in the third record?
A: Ho2PuZn